Record 1
DFT (GGA-PBE) results for a relaxed Pm2Pr4NdMg crystal.

a b c (Å): 5.902 5.904 7.818
angles (deg): 90.00 90.04 90.00
Positions (direct):
1 Pm 0.000 0.000 0.000
2 Pm 0.500 0.500 0.500
3 Pr 0.000 0.500 0.232
4 Pr 0.000 0.500 0.768
5 Pr 0.500 0.000 0.232
6 Pr 0.500 0.000 0.768
7 Nd 0.000 0.000 0.500
8 Mg 0.500 0.500 0.000

As for the space group: P2/m (10).

Record 2
DFT (GGA-PBE) results for a relaxed Pm2PrNd4Mg crystal.

a b c (Å): 5.842 5.848 7.895
angles (deg): 90.00 90.07 90.00
Positions (direct):
1 Pm 0.000 0.000 0.000
2 Pm 0.500 0.500 0.500
3 Pr 0.000 0.000 0.500
4 Nd 0.000 0.500 0.229
5 Nd 0.000 0.500 0.771
6 Nd 0.500 0.000 0.229
7 Nd 0.500 0.000 0.771
8 Mg 0.500 0.500 0.000

As for the space group: P2/m (10).

Record 3
DFT (GGA-PBE) results for a relaxed Pm6PrNd2Mg crystal.

a b c (Å): 9.100 9.100 9.260
angles (deg): 91.15 91.15 117.79
Positions (direct):
1 Pm 0.005 0.427 0.790
2 Pm 0.144 0.784 0.556
3 Pm 0.216 0.856 0.944
4 Pm 0.271 0.502 0.402
5 Pm 0.427 0.005 0.290
6 Pm 0.498 0.729 0.098
7 Pm 0.502 0.271 0.902
8 Pm 0.573 0.995 0.710
9 Pm 0.729 0.498 0.598
10 Pm 0.784 0.144 0.056
11 Pm 0.856 0.216 0.444
12 Pm 0.995 0.573 0.210
13 Pr 0.025 0.975 0.250
14 Pr 0.975 0.025 0.750
15 Nd 0.215 0.331 0.054
16 Nd 0.331 0.215 0.554
17 Nd 0.669 0.785 0.446
18 Nd 0.785 0.669 0.946
19 Mg 0.422 0.578 0.750
20 Mg 0.578 0.422 0.250

As for the space group: C2/c (15).

Record 4
DFT (GGA-PBE) results for a relaxed Pm6Pr3Nd2Mg crystal.

a b c (Å): 6.308 6.308 12.067
angles (deg): 95.03 95.03 120.04
Positions (direct):
1 Pm 0.081 0.412 0.247
2 Pm 0.248 0.248 0.752
3 Pm 0.412 0.081 0.247
4 Pm 0.588 0.919 0.753
5 Pm 0.752 0.752 0.248
6 Pm 0.919 0.588 0.753
7 Pr 0.167 0.833 0.500
8 Pr 0.500 0.500 0.500
9 Pr 0.833 0.167 0.500
10 Nd 0.333 0.667 0.000
11 Nd 0.667 0.333 0.000
12 Mg 0.000 0.000 0.000

As for the space group: C2/m (12).

| no. | formation energy from the elements (kcal/mol of atoms) | size of the total moment (μB per formula unit) | DOS(E_F) (states/eV/cell) |
| --- | --- | --- | --- |
| 1 | 1.5 | 0.00 | 13.60 |
| 2 | 1.7 | 0.00 | 14.50 |
| 3 | 2.5 | 0.00 | 27.38 |
| 4 | 0.4 | 0.00 | 16.80 |